# 1
Below is a relaxed Ta4FeTe4 crystal, with properties calculated at the PBEsol level.

extended XYZ file:
```
36
Lattice="10.484 0.000 0.000 0.000 18.238 0.000 0.000 0.000 4.801" Properties=species:S:1:pos:R:3 pbc="T T T"
Ta 0.699 2.150 0.000
Ta 1.038 16.230 2.400
Ta 2.030 1.039 2.400
Ta 2.173 17.547 0.000
Ta 3.069 8.428 0.000
Ta 3.212 10.158 2.400
Ta 4.204 7.111 2.400
Ta 4.543 11.269 0.000
Ta 5.941 6.969 0.000
Ta 6.280 11.127 2.400
Ta 7.272 8.080 2.400
Ta 7.414 9.810 0.000
Ta 8.311 0.691 0.000
Ta 8.454 17.199 2.400
Ta 9.446 2.008 2.400
Ta 9.785 16.088 0.000
Fe 0.000 0.000 1.200
Fe 0.000 0.000 3.601
Fe 5.242 9.119 1.200
Fe 5.242 9.119 3.601
Te 1.197 3.739 2.400
Te 1.488 7.906 2.400
Te 1.726 10.919 0.000
Te 1.788 14.753 0.000
Te 3.454 5.634 0.000
Te 3.516 1.800 0.000
Te 3.754 17.025 2.400
Te 4.045 12.858 2.400
Te 6.438 5.380 2.400
Te 6.730 1.213 2.400
Te 6.968 16.438 0.000
Te 7.030 12.604 0.000
Te 8.696 3.485 0.000
Te 8.758 7.319 0.000
Te 8.996 10.332 2.400
Te 9.287 14.499 2.400
```

ΔE_f (raw), meV/atom: -374.5
Space-group type: Pbam

# 2
Below is a relaxed TaTiFe4 crystal, with properties calculated at the PBEsol level.

extended XYZ file:
```
12
Lattice="4.660 0.000 0.000 -2.330 4.036 0.000 0.000 0.000 7.680" Properties=species:S:1:pos:R:3 pbc="T T T"
Ta 0.000 2.690 3.298
Ta 2.330 1.345 4.382
Ti 0.000 2.690 0.464
Ti 2.330 1.345 7.216
Fe 0.000 0.000 0.000
Fe 0.000 0.000 3.840
Fe 0.000 1.378 5.771
Fe -1.136 3.346 5.771
Fe 1.194 0.689 1.909
Fe 1.136 3.346 5.771
Fe 3.466 0.689 1.909
Fe 2.330 2.657 1.909
```

Space-group type: P-3m1
Formation energy from the elements, eV/atom: -0.28

# 3
Below is a relaxed TaTi3Fe crystal, with properties calculated at the PBEsol level.

extended XYZ file:
```
5
Lattice="4.692 0.000 0.000 0.000 4.692 0.000 0.000 0.000 4.692" Properties=species:S:1:pos:R:3 pbc="T T T"
Ta 0.000 0.000 0.000
Ti 0.000 0.000 2.346
Ti 0.000 2.346 0.000
Ti 2.346 0.000 0.000
Fe 2.346 2.346 2.346
```

Space-group type: Pm-3m
Formation energy from the elements, eV/atom: 1.43

# 4
Below is a relaxed Ta2TlFe crystal, with properties calculated at the PBEsol level.

extended XYZ file:
```
4
Lattice="1.523 0.879 8.723 -1.523 0.879 8.723 0.000 -1.758 8.723" Properties=species:S:1:pos:R:3 pbc="T T T"
Ta 0.000 0.000 0.000
Ta 0.000 0.000 6.426
Tl 0.000 0.000 12.636
Fe 0.000 0.000 19.188
```

Energy above the most stable polymorph in this dataset, eV/atom: 0.0768
Space-group type: R3m
Formation energy from the elements, eV/atom: 0.39